Entry 1:
Density functional theory data (PBE) for crystalline Nd3Cu2Au3 at its relaxed geometry.

## Properties
Fermi-level density of states   9.525 states/eV/cell
Calculated total energy   -4.629 eV per atom
ΔH_f (0 K)   -0.588 eV/atom

```
data_Nd3Cu2Au3
_chemical_formula_sum 'Nd6 Cu4 Au6'
_symmetry_space_group_name_H-M 'P 1'
_symmetry_Int_Tables_number 1
_cell_length_a 4.429
_cell_length_b 5.744
_cell_length_c 15.530
_cell_angle_alpha 90.00
_cell_angle_beta 90.00
_cell_angle_gamma 112.67
loop_
_symmetry_equiv_pos_as_xyz
'x,y,z'
loop_
_atom_site_label
_atom_site_fract_x
_atom_site_fract_y
_atom_site_fract_z
Au1 0.379 0.759 0.544
Au2 0.379 0.759 0.956
Au3 0.355 0.710 0.250
Au4 0.621 0.241 0.044
Au5 0.621 0.241 0.456
Au6 0.645 0.290 0.750
Nd1 0.914 0.829 0.399
Nd2 0.358 0.717 0.750
Nd3 0.914 0.829 0.101
Nd4 0.086 0.171 0.899
Nd5 0.642 0.283 0.250
Nd6 0.086 0.171 0.601
Cu1 0.212 0.423 0.392
Cu2 0.788 0.577 0.608
Cu3 0.212 0.423 0.108
Cu4 0.788 0.577 0.892
```

=====

Entry 2:
Density functional theory data (PBE) for crystalline La2ScPa2Ru5 at its relaxed geometry.

## Properties
Fermi-level density of states   18.962 states/eV/cell
Calculated total energy   -8.434 eV per atom
ΔH_f (0 K)   -0.278 eV/atom

```
data_La2ScPa2Ru5
_chemical_formula_sum 'La4 Sc2 Pa4 Ru10'
_symmetry_space_group_name_H-M 'P 1'
_symmetry_Int_Tables_number 1
_cell_length_a 3.369
_cell_length_b 11.126
_cell_length_c 11.126
_cell_angle_alpha 90.00
_cell_angle_beta 90.00
_cell_angle_gamma 90.00
loop_
_symmetry_equiv_pos_as_xyz
'x,y,z'
loop_
_atom_site_label
_atom_site_fract_x
_atom_site_fract_y
_atom_site_fract_z
La1 0.000 0.162 0.338
La2 0.000 0.662 0.162
La3 0.000 0.838 0.662
La4 0.000 0.338 0.838
Pa1 0.000 0.847 0.347
Pa2 0.000 0.153 0.653
Pa3 0.000 0.653 0.847
Pa4 0.000 0.347 0.153
Ru1 0.500 0.000 0.500
Ru2 0.500 0.446 0.299
Ru3 0.500 0.054 0.799
Ru4 0.500 0.799 0.946
Ru5 0.500 0.554 0.701
Ru6 0.500 0.946 0.201
Ru7 0.500 0.500 0.000
Ru8 0.500 0.299 0.554
Ru9 0.500 0.701 0.446
Ru10 0.500 0.201 0.054
Sc1 0.000 0.500 0.500
Sc2 0.000 0.000 0.000
```

=====

Entry 3:
Density functional theory data (PBE) for crystalline HfPtAu at its relaxed geometry.

## Properties
Fermi-level density of states   2.089 states/eV/cell
Calculated total energy   -7.227 eV per atom
ΔH_f (0 K)   -0.803 eV/atom
Energy above the most stable polymorph in this dataset   118 meV per atom

```
data_HfPtAu
_chemical_formula_sum 'Hf2 Pt2 Au2'
_symmetry_space_group_name_H-M 'P 1'
_symmetry_Int_Tables_number 1
_cell_length_a 3.641
_cell_length_b 4.464
_cell_length_c 6.938
_cell_angle_alpha 90.00
_cell_angle_beta 105.23
_cell_angle_gamma 90.00
loop_
_symmetry_equiv_pos_as_xyz
'x,y,z'
loop_
_atom_site_label
_atom_site_fract_x
_atom_site_fract_y
_atom_site_fract_z
Pt1 0.260 0.250 0.520
Pt2 0.740 0.750 0.480
Hf1 0.392 0.750 0.784
Hf2 0.608 0.250 0.216
Au1 0.934 0.250 0.869
Au2 0.066 0.750 0.131
```

=====

Among the records above, which one has the lowest Fermi-level density of states? HfPtAu

=====

What is the Fermi-level density of states in the first record? 9.525 states/eV/cell